No. 1
Ca2TaTe PBE optimized geometry; formation energy (no corrections) = 0.2944 eV/atom; symmetry = I4/mmm, No. 139
1.0
-2.2351 2.2351 5.0791
2.2351 -2.2351 5.0791
2.2351 2.2351 -5.0791
Ca Ta Te
2 1 1
Direct
0.2500 0.7500 0.5000 Ca
0.7500 0.2500 0.5000 Ca
0.0000 0.0000 0.0000 Ta
0.5000 0.5000 0.0000 Te

---

No. 2
LiMnHg2 PBE optimized geometry; energy of formation from the pure elements = 0.093 eV per atom; symmetry = F-43m, No. 216
1.0
0.0000 3.3360 3.3360
3.3360 0.0000 3.3360
3.3360 3.3360 0.0000
Li Mn Hg
1 1 2
Direct
0.0000 0.0000 0.0000 Li
0.2500 0.2500 0.2500 Mn
0.5000 0.5000 0.5000 Hg
0.7500 0.7500 0.7500 Hg

---

No. 3
Li2InSb2 PBE optimized geometry; energy relative to the lowest polymorph listed for this composition = 0.0 meV per atom; formation energy (no corrections) = -0.3132 eV/atom; symmetry = P4/mbm, No. 127
1.0
8.7358 0.0000 0.0000
0.0000 8.7358 0.0000
0.0000 0.0000 3.0519
Li In Sb
4 2 4
Direct
0.1256 0.3744 0.0000 Li
0.3744 0.8744 0.0000 Li
0.6256 0.1256 0.0000 Li
0.8744 0.6256 0.0000 Li
0.0000 0.0000 0.5000 In
0.5000 0.5000 0.5000 In
0.1693 0.6693 0.5000 Sb
0.3307 0.1693 0.5000 Sb
0.6693 0.8307 0.5000 Sb
0.8307 0.3307 0.5000 Sb

---

No. 4
Cs3Th3SnTe8 PBE optimized geometry; formation energy (no corrections) = -1.0943 eV/atom; symmetry = R-3m, No. 166
1.0
4.6040 2.6581 9.0516
-4.6040 2.6581 9.0516
0.0000 -5.3162 9.0516
Cs Th Sn Te
3 3 1 8
Direct
0.0000 0.5000 0.5000 Cs
0.5000 0.0000 0.5000 Cs
0.5000 0.5000 0.0000 Cs
0.0000 0.0000 0.5000 Th
0.0000 0.5000 0.0000 Th
0.5000 0.0000 0.0000 Th
0.5000 0.5000 0.5000 Sn
0.2219 0.7351 0.7351 Te
0.2323 0.2323 0.2323 Te
0.2649 0.2649 0.7781 Te
0.2649 0.7781 0.2649 Te
0.7351 0.2219 0.7351 Te
0.7351 0.7351 0.2219 Te
0.7677 0.7677 0.7677 Te
0.7781 0.2649 0.2649 Te

---

No. 5
GeS4 PBE optimized geometry; energy relative to the lowest polymorph listed for this composition = 0.0 meV per atom; formation energy (no corrections) = 0.0556 eV/atom; symmetry = C2/m, No. 12
1.0
3.0778 -1.7439 0.0000
3.0778 1.7439 0.0000
-0.3107 0.0000 11.5163
Ge S
1 4
Direct
0.0000 0.0000 0.0000 Ge
0.2480 0.2480 0.4506 S
0.3280 0.3280 0.8803 S
0.6720 0.6720 0.1197 S
0.7520 0.7520 0.5494 S

---

No. 6
Mg2Sc5GaRh2 PBE optimized geometry; energy of formation from the pure elements = -0.524 eV per atom; symmetry = P4/mbm, No. 127
1.0
11.0695 0.0000 0.0000
0.0000 11.0695 0.0000
0.0000 0.0000 3.4367
Mg Sc Ga Rh
4 10 2 4
Direct
0.1756 0.3244 0.0000 Mg
0.3244 0.8244 0.0000 Mg
0.6756 0.1756 0.0000 Mg
0.8244 0.6756 0.0000 Mg
0.0000 0.5000 0.5000 Sc
0.0701 0.7987 0.5000 Sc
0.2013 0.0701 0.5000 Sc
0.2987 0.5701 0.5000 Sc
0.4299 0.2987 0.5000 Sc
0.5000 0.0000 0.5000 Sc
0.5701 0.7013 0.5000 Sc
0.7013 0.4299 0.5000 Sc
0.7987 0.9299 0.5000 Sc
0.9299 0.2013 0.5000 Sc
0.0000 0.0000 0.0000 Ga
0.5000 0.5000 0.0000 Ga
0.1288 0.6288 0.0000 Rh
0.3712 0.1288 0.0000 Rh
0.6288 0.8712 0.0000 Rh
0.8712 0.3712 0.0000 Rh

---

No. 7
CsHoCrI6 PBE optimized geometry; formation energy (no corrections) = -1.0396 eV/atom; symmetry = P312, No. 149
1.0
7.6699 0.0000 0.0000
-3.8349 6.6423 0.0000
0.0000 0.0000 8.7646
Cs Ho Cr I
1 1 1 6
Direct
0.0000 0.0000 0.0000 Cs
0.6667 0.3333 0.5000 Ho
0.3333 0.6667 0.5000 Cr
0.0132 0.3775 0.6940 I
0.0132 0.6357 0.3060 I
0.3643 0.3775 0.3060 I
0.3643 0.9868 0.6940 I
0.6225 0.6357 0.6940 I
0.6225 0.9868 0.3060 I

---

No. 8
LiDyErAl PBE optimized geometry; energy of formation from the pure elements = -0.210 eV per atom; symmetry = F-43m, No. 216
1.0
0.0000 3.6259 3.6259
3.6259 0.0000 3.6259
3.6259 3.6259 0.0000
Li Dy Er Al
1 1 1 1
Direct
0.0000 0.0000 0.0000 Li
0.2500 0.2500 0.2500 Dy
0.7500 0.7500 0.7500 Er
0.5000 0.5000 0.5000 Al

---

Table of calculated density (Mg/m³), in record order: 6.4, 10.4, 5.3, 5.6, 2.7, 4.3, 4.1, 6.3